w:
Here is crystalline Ba2Ca2Zn at its relaxed geometry from Alexandria via LeMat-Bulk. Energies are from PBE-GGA.

Lattice parameters (Å, degrees): 8.1986 8.1986 6.5928 90.00 90.00 90.00
Last column: nearest neighbours and their distance in Å.
Atoms (fractional coordinates):
Ba (0.8232, 0.3232, 0.5000)  2 Ca 3.81, 5 Ba 4.10-4.27
Ba (0.3232, 0.1768, 0.5000)  2 Ca 3.81, 5 Ba 4.10-4.27
Ba (0.6768, 0.8232, 0.5000)  2 Ca 3.81, 5 Ba 4.10-4.27
Ba (0.1768, 0.6768, 0.5000)  2 Ca 3.81, 5 Ba 4.10-4.27
Zn (0.0000, 0.0000, 0.0000)  4 Ca 3.09
Zn (0.5000, 0.5000, 0.0000)  4 Ca 3.09
Ca (0.1577, 0.3423, 0.0000)  2 Zn 3.09
Ca (0.8423, 0.6577, 0.0000)  2 Zn 3.09
Ca (0.3423, 0.8423, 0.0000)  2 Zn 3.09
Ca (0.6577, 0.1577, 0.0000)  2 Zn 3.09

Properties
**Total magnetic moment**: 0.000 μB per atom
**DOS at the Fermi energy**: 2.520 states/eV/f.u.

=====

x:
Here is crystalline Ba2Ca2Zn at its relaxed geometry from Alexandria via LeMat-Bulk. Energies are from PBE-GGA.

Lattice parameters (Å, degrees): 4.1542 4.1542 12.8208 99.32 99.32 90.00
Last column: nearest neighbours and their distance in Å.
Atoms (fractional coordinates):
Zn (0.0000, 0.0000, 0.0000)  8 Ba 3.52
Ca (0.8001, 0.8001, 0.6002)  8 Ca 3.86-4.15, 4 Ba 4.23
Ca (0.1999, 0.1999, 0.3998)  8 Ca 3.86-4.15, 4 Ba 4.23
Ba (0.5778, 0.5778, 0.1556)  4 Zn 3.52, 1 Ba 3.88
Ba (0.4222, 0.4222, 0.8444)  4 Zn 3.52, 1 Ba 3.88

Properties
**Total magnetic moment**: 0.000 μB per atom
**DOS at the Fermi energy**: 4.770 states/eV/f.u.

=====

Pick x: it beats the second-best structure by 140 meV per atom.

=====

w:
Here is crystalline BaCaZn2 at its relaxed geometry from Alexandria via LeMat-Bulk. Energies are from PBE-GGA.

Lattice parameters (Å, degrees): 5.5322 5.5322 5.5322 60.00 60.00 60.00
Last column: nearest neighbours and their distance in Å.
Atoms (fractional coordinates):
Zn (0.2500, 0.2500, 0.2500)  4 Ba 3.39, 4 Ca 3.39
Zn (0.7500, 0.7500, 0.7500)  4 Ba 3.39, 4 Ca 3.39
Ba (0.5000, 0.5000, 0.5000)  8 Zn 3.39
Ca (0.0000, 0.0000, 0.0000)  8 Zn 3.39

Properties
**Total magnetic moment**: 0.000 μB per atom
**DOS at the Fermi energy**: 3.221 states/eV/f.u.

=====

x:
Here is crystalline BaCaZn2 at its relaxed geometry from Alexandria via LeMat-Bulk. Energies are from PBE-GGA.

Lattice parameters (Å, degrees): 6.5234 6.5234 6.5234 146.25 130.34 61.39
Last column: nearest neighbours and their distance in Å.
Atoms (fractional coordinates):
Ca (0.2281, 0.7281, 0.5000)  8 Zn 3.41-3.71, 2 Ba 3.54, 2 Ca 3.79
Ba (0.5286, 0.5286, 0.0000)  8 Zn 3.44-3.82, 2 Ca 3.54, 2 Ba 3.79
Zn (0.9518, 0.9518, 0.0000)  2 Zn 2.61
Zn (0.7915, 0.2915, 0.5000)  2 Zn 2.61

Properties
**Total magnetic moment**: 0.000 μB per atom
**DOS at the Fermi energy**: 3.523 states/eV/f.u.

=====

y:
Here is crystalline BaCaZn2 at its relaxed geometry from Alexandria via LeMat-Bulk. Energies are from PBE-GGA.

Lattice parameters (Å, degrees): 5.5940 5.5996 3.7951 90.00 90.00 90.00
Last column: nearest neighbours and their distance in Å.
Atoms (fractional coordinates):
Zn (0.5000, 0.5000, 0.0000)  4 Ca 3.38, 4 Ba 3.38
Zn (0.0000, 0.0000, 0.0000)  4 Ba 3.38, 4 Ca 3.38
Ca (0.0000, 0.5000, 0.5000)  8 Zn 3.38
Ba (0.5000, 0.0000, 0.5000)  8 Zn 3.38

Properties
**Total magnetic moment**: 0.000 μB per atom
**DOS at the Fermi energy**: 3.394 states/eV/f.u.

=====

z:
Here is crystalline BaCaZn2 at its relaxed geometry from Alexandria via LeMat-Bulk. Energies are from PBE-GGA.

Lattice parameters (Å, degrees): 6.1472 6.1472 6.1472 133.72 133.72 67.53
Last column: nearest neighbours and their distance in Å.
Atoms (fractional coordinates):
Zn (0.0000, 0.0000, 0.0000)  4 Ba 3.42, 4 Zn 3.52, 4 Ca 3.52
Zn (0.2500, 0.7500, 0.5000)  4 Ca 3.42, 4 Ba 3.52, 4 Zn 3.52
Ba (0.5000, 0.5000, 0.0000)  8 Zn 3.42-3.52, 4 Ca 3.52
Ca (0.7500, 0.2500, 0.5000)  8 Zn 3.42-3.52, 4 Ba 3.52

Properties
**Total magnetic moment**: 0.000 μB per atom
**DOS at the Fermi energy**: 2.892 states/eV/f.u.

=====

Pick w: it beats the second-best structure by 27 meV per atom.